(1)
! GGA-PBE TbDy3Hg, relaxed; values from VASP
! energy of formation = -0.58 eV/f.u.
! DFT total energy = -3.863 eV per atom
&SYSTEM
  ibrav = 0, nat = 10, ntyp = 3
/
ATOMIC_SPECIES
Dy 162.50 Dy.upf
Hg 200.59 Hg.upf
Tb 158.93 Tb.upf
CELL_PARAMETERS angstrom
6.595 -0.369 -1.059
-2.160 6.242 1.059
-3.297 -2.122 7.796
ATOMIC_POSITIONS crystal
Dy 0.820 0.439 0.259
Dy 0.269 0.090 0.859
Dy 0.769 0.590 0.859
Dy 0.180 0.561 0.741
Dy 0.731 0.910 0.141
Dy 0.231 0.410 0.141
Hg 0.752 0.748 0.500
Hg 0.248 0.252 0.500
Tb 0.321 0.940 0.260
Tb 0.679 0.060 0.740



(2)
! GGA-PBE TbDy2Hg, relaxed; values from VASP
! relative energy among the computed polymorphs = 65 meV per atom
! energy of formation = -0.65 eV/f.u.
! DFT total energy = -3.697 eV per atom
&SYSTEM
  ibrav = 0, nat = 4, ntyp = 3
/
ATOMIC_SPECIES
Dy 162.50 Dy.upf
Hg 200.59 Hg.upf
Tb 158.93 Tb.upf
CELL_PARAMETERS angstrom
-2.337 -2.296 1.505
1.169 -2.501 2.318
-1.853 5.143 9.287
ATOMIC_POSITIONS crystal
Dy 0.257 0.257 0.228
Dy 0.743 0.743 0.772
Hg 0.000 0.000 0.000
Tb 0.500 0.500 0.500



(3)
! GGA-PBE TbDy2Hg2, relaxed; values from VASP
! relative energy among the computed polymorphs = 147 meV per atom
! energy of formation = -1.20 eV/f.u.
! DFT total energy = -3.128 eV per atom
&SYSTEM
  ibrav = 0, nat = 5, ntyp = 3
/
ATOMIC_SPECIES
Hg 200.59 Hg.upf
Tb 158.93 Tb.upf
Dy 162.50 Dy.upf
CELL_PARAMETERS angstrom
5.157 0.000 0.000
-2.578 4.466 0.000
0.000 0.000 6.353
ATOMIC_POSITIONS crystal
Hg 0.667 0.333 0.827
Hg 0.333 0.667 0.173
Tb 0.000 0.000 0.000
Dy 0.333 0.667 0.659
Dy 0.667 0.333 0.341



(4)
! GGA-PBE Tb2DyHg2, relaxed; values from VASP
! relative energy among the computed polymorphs = 0 meV per atom
! energy of formation = -1.93 eV/f.u.
! DFT total energy = -3.279 eV per atom
&SYSTEM
  ibrav = 0, nat = 10, ntyp = 3
/
ATOMIC_SPECIES
Dy 162.50 Dy.upf
Hg 200.59 Hg.upf
Tb 158.93 Tb.upf
CELL_PARAMETERS angstrom
-2.738 2.382 0.968
-3.590 -3.846 -0.688
2.801 -4.862 12.566
ATOMIC_POSITIONS crystal
Dy 0.853 0.750 0.708
Dy 0.147 0.250 0.292
Hg 0.452 0.750 0.903
Hg 0.548 0.250 0.097
Hg 0.356 0.250 0.713
Hg 0.644 0.750 0.287
Tb 0.047 0.750 0.094
Tb 0.235 0.750 0.471
Tb 0.765 0.250 0.529
Tb 0.953 0.250 0.906



(5)
! GGA-PBE Tb2Dy3Hg7, relaxed; values from VASP
! energy of formation = -3.66 eV/f.u.
! DFT total energy = -2.403 eV per atom
&SYSTEM
  ibrav = 0, nat = 12, ntyp = 3
/
ATOMIC_SPECIES
Hg 200.59 Hg.upf
Tb 158.93 Tb.upf
Dy 162.50 Dy.upf
CELL_PARAMETERS angstrom
-5.382 -0.371 0.646
0.549 -4.837 1.791
0.728 6.486 9.786
ATOMIC_POSITIONS crystal
Hg 0.000 0.000 0.000
Hg 0.500 0.917 0.833
Hg 0.000 0.425 0.850
Hg 0.500 0.083 0.167
Hg 0.000 0.278 0.556
Hg 0.000 0.722 0.444
Hg 0.000 0.575 0.150
Tb 0.000 0.144 0.288
Tb 0.000 0.856 0.712
Dy 0.500 0.334 0.669
Dy 0.500 0.666 0.331
Dy 0.500 0.500 0.000



(6)
! GGA-PBE TbDyTcHg, relaxed; values from VASP
! energy of formation = -0.60 eV/f.u.
! DFT total energy = -5.124 eV per atom
&SYSTEM
  ibrav = 0, nat = 4, ntyp = 4
/
ATOMIC_SPECIES
Tc 98.00 Tc.upf
Tb 158.93 Tb.upf
Dy 162.50 Dy.upf
Hg 200.59 Hg.upf
CELL_PARAMETERS angstrom
-0.828 4.451 2.230
-4.720 1.681 0.603
-2.048 0.171 4.609
ATOMIC_POSITIONS crystal
Tc 0.500 0.500 0.500
Tb 0.750 0.750 0.750
Dy 0.250 0.250 0.250
Hg 0.000 0.000 0.000



(7)
! GGA-PBE TbDyThHg, relaxed; values from VASP
! energy of formation = 0.26 eV/f.u.
! DFT total energy = -4.174 eV per atom
&SYSTEM
  ibrav = 0, nat = 4, ntyp = 4
/
ATOMIC_SPECIES
Dy 162.50 Dy.upf
Tb 158.93 Tb.upf
Th 232.04 Th.upf
Hg 200.59 Hg.upf
CELL_PARAMETERS angstrom
-0.749 -4.710 -2.613
3.841 -1.889 -3.353
2.913 -4.375 1.393
ATOMIC_POSITIONS crystal
Dy 0.500 0.500 0.500
Tb 0.000 0.000 0.000
Th 0.750 0.750 0.750
Hg 0.250 0.250 0.250



(8)
! GGA-PBE Tb2DyTl2Hg2, relaxed; values from VASP
! energy of formation = -1.25 eV/f.u.
! DFT total energy = -2.921 eV per atom
&SYSTEM
  ibrav = 0, nat = 7, ntyp = 4
/
ATOMIC_SPECIES
Hg 200.59 Hg.upf
Tb 158.93 Tb.upf
Tl 204.38 Tl.upf
Dy 162.50 Dy.upf
CELL_PARAMETERS angstrom
-0.513 -1.825 4.619
3.122 -3.531 1.650
6.326 4.478 5.171
ATOMIC_POSITIONS crystal
Hg 0.434 0.434 0.697
Hg 0.566 0.566 0.303
Tb 0.133 0.133 0.602
Tb 0.867 0.867 0.398
Tl 0.726 0.726 0.823
Tl 0.274 0.274 0.177
Dy 0.000 0.000 0.000